Entry 1:
## Nd2AlCuS5 (GGA-PBE)

Data for an optimized crystal structure of Nd2AlCuS5.

Lattice parameters (Å, degrees): 3.9252 8.8734 11.0119 90.00 90.00 102.78
Fractional positions:
Nd 0.8805 0.7610 0.7960
Nd 0.1091 0.2182 0.6758
Nd 0.1195 0.2390 0.2960
Nd 0.8909 0.7818 0.1758
Al 0.5946 0.1891 0.9667
Al 0.4054 0.8109 0.4667
Cu 0.7498 0.4995 0.6021
Cu 0.2502 0.5005 0.1021
S 0.3580 0.7161 0.9894
S 0.6918 0.3836 0.8226
S 0.5074 0.0148 0.7907
S 0.3122 0.6244 0.6324
S 0.9578 0.9156 0.5483
S 0.6420 0.2839 0.4894
S 0.3082 0.6164 0.3226
S 0.4926 0.9852 0.2907
S 0.6878 0.3756 0.1324
S 0.0422 0.0844 0.0483

## Properties
ρ (g/cm3): 4.8
M_tot (μB per cell): 0.00
Raw total energy (eV per formula unit): -51.32
Formation energy from raw total energies (eV/atom): -1.48

=====

Entry 2:
## GdHoSn2 (GGA-PBE)

Data for an optimized crystal structure of GdHoSn2.

Lattice parameters (Å, degrees): 5.3669 5.3669 5.3669 60.00 60.00 60.00
Site moments in Bohr magnetons follow the coordinates.
Fractional positions:
Gd 0.5000 0.5000 0.5000  7.05
Ho 0.0000 0.0000 0.0000  0.06
Sn 0.2500 0.2500 0.2500  -0.01
Sn 0.7500 0.7500 0.7500  -0.01

## Properties
Polymorph energy (0 for the lowest one) (eV/f.u.): 0.35
ρ (g/cm3): 8.5
M_tot (μB per cell): 7.31
Raw total energy (eV per formula unit): -28.93
ΔE_f (eV per atom): -0.57

=====

Entry 3:
## CsGaCuSe2 (GGA-PBE)

Data for an optimized crystal structure of CsGaCuSe2.

Lattice parameters (Å, degrees): 6.4835 6.6100 7.8778 114.80 90.00 90.00
Fractional positions:
Cs 0.2387 0.7500 0.5000
Cs 0.7613 0.2500 0.5000
Ga 0.5000 0.7500 0.0000
Ga 0.5000 0.2500 0.0000
Cu 0.0000 0.0000 0.0000
Cu 0.0000 0.5000 0.0000
Se 0.7334 0.8963 0.7926
Se 0.7334 0.6037 0.2074
Se 0.2666 0.3963 0.7926
Se 0.2666 0.1037 0.2074

## Properties
ρ (g/cm3): 4.6
M_tot (μB per cell): 0.00
Raw total energy (eV per formula unit): -17.62
Formation energy from raw total energies (eV/atom): -0.53

=====

Entry 4:
## Rb3La2UO6 (GGA-PBE)

Data for an optimized crystal structure of Rb3La2UO6.

Lattice parameters (Å, degrees): 6.4456 6.4456 7.0090 98.85 98.85 120.01
Site moments in Bohr magnetons follow the coordinates.
Fractional positions:
Rb 0.1653 0.8347 0.5000  0.04
Rb 0.8347 0.1653 0.5000  0.04
Rb 0.5000 0.5000 0.5000  0.04
La 0.3334 0.6666 0.0000  0.12
La 0.6666 0.3334 0.0000  0.12
U 0.0000 0.0000 0.0000  1.96
O 0.9439 0.6364 0.8332  -0.03
O 0.7479 0.7479 0.1680  -0.03
O 0.0561 0.3636 0.1668  -0.03
O 0.6364 0.9439 0.8332  -0.03
O 0.2521 0.2521 0.8320  -0.03
O 0.3636 0.0561 0.1668  -0.03

## Properties
ρ (g/cm3): 6.0
M_tot (μB per cell): 2.99
Raw total energy (eV per formula unit): -83.37
Formation energy from raw total energies (eV/atom): -2.46

=====

Entry 5:
## ZrGeAs2Se (GGA-PBE)

Data for an optimized crystal structure of ZrGeAs2Se.

Lattice parameters (Å, degrees): 5.2214 5.2214 5.1251 90.00 90.00 90.00
Fractional positions:
As 0.0000 0.5000 0.0000
As 0.5000 0.0000 0.0000
Ge 0.5000 0.5000 0.5000
Se 0.0000 0.0000 0.5000
Zr 0.0000 0.0000 0.0000

## Properties
Polymorph energy (0 for the lowest one) (eV/f.u.): 0.00
ρ (g/cm3): 4.7
M_tot (μB per cell): 0.00
Raw total energy (eV per formula unit): -24.88
Formation energy from raw total energies (eV/atom): 0.21

=====

Entry 6:
## PrHoIn2Se4 (GGA-PBE)

Data for an optimized crystal structure of PrHoIn2Se4.

Lattice parameters (Å, degrees): 4.2261 8.1022 7.3295 72.52 90.00 90.00
Fractional positions:
Pr 0.5000 0.5000 0.0000
Ho 0.0000 0.5000 0.5000
In 0.0000 0.0000 0.0000
In 0.5000 0.0000 0.5000
Se 0.0000 0.7148 0.7514
Se 0.0000 0.2852 0.2486
Se 0.5000 0.7094 0.2737
Se 0.5000 0.2906 0.7263

## Properties
ρ (g/cm3): 5.9
M_tot (μB per cell): 0.00
Raw total energy (eV per formula unit): -39.06
Formation energy from raw total energies (eV/atom): -1.29

=====

Entry 7:
## CeDy5Er2Tm (GGA-PBE)

Data for an optimized crystal structure of CeDy5Er2Tm.

Lattice parameters (Å, degrees): 5.6574 11.0623 9.5013 90.00 90.00 104.82
Site moments in Bohr magnetons follow the coordinates.
Fractional positions:
Ce 0.8098 0.6196 0.5199  -0.51
Ce 0.1902 0.3804 0.0199  -0.51
Dy 0.3946 0.7893 0.0451  0.01
Dy 0.7324 0.4647 0.8296  -0.02
Dy 0.4709 0.9418 0.7474  0.02
Dy 0.3054 0.6107 0.7120  -0.02
Dy 0.9859 0.9717 0.5110  0.01
Dy 0.6054 0.2107 0.5451  0.01
Dy 0.2676 0.5353 0.3296  -0.02
Dy 0.5291 0.0582 0.2474  0.02
Dy 0.6946 0.3893 0.2120  -0.02
Dy 0.0141 0.0283 0.0110  0.01
Er 0.8862 0.7724 0.8224  -0.01
Er 0.1317 0.2633 0.7083  -0.01
Er 0.1138 0.2276 0.3224  -0.01
Er 0.8683 0.7367 0.2083  -0.01
Tm 0.5972 0.1943 0.9284  0.02
Tm 0.4028 0.8057 0.4284  0.02

## Properties
ρ (g/cm3): 8.4
M_tot (μB per cell): 1.14
Raw total energy (eV per formula unit): -41.00
ΔE_f (eV per atom): 0.17

=====

Entry 8:
## ScZn11Cd (GGA-PBE)

Data for an optimized crystal structure of ScZn11Cd.

Lattice parameters (Å, degrees): 5.3739 6.8266 6.7782 80.95 66.65 66.61
Fractional positions:
Sc 0.0000 0.0000 0.0000
Zn 0.2749 0.2080 0.2162
Zn 0.7251 0.7920 0.7838
Zn 0.5088 0.7920 0.2162
Zn 0.4912 0.2080 0.7838
Zn 0.3364 0.6524 0.6408
Zn 0.6636 0.3476 0.3592
Zn 0.0228 0.3476 0.6408
Zn 0.9772 0.6524 0.3592
Zn 0.0000 0.5000 0.0000
Zn 0.5000 0.0000 0.5000
Zn 0.0000 0.0000 0.5000
Cd 0.5000 0.5000 0.0000

## Properties
ρ (g/cm3): 6.9
M_tot (μB per cell): 0.00
Raw total energy (eV per formula unit): -22.34
ΔE_f (eV per atom): -0.08

=====

Entry 9:
## Th2Mg2Cu15 (GGA-PBE)

Data for an optimized crystal structure of Th2Mg2Cu15.

Lattice parameters (Å, degrees): 6.6191 6.6191 6.6191 82.05 82.05 82.05
Fractional positions:
Th 0.3538 0.3538 0.3538
Th 0.6462 0.6462 0.6462
Mg 0.1032 0.1032 0.1032
Mg 0.8968 0.8968 0.8968
Cu 0.5000 0.0000 0.0000
Cu 0.0000 0.0000 0.5000
Cu 0.0000 0.5000 0.0000
Cu 0.0000 0.7002 0.2998
Cu 0.7002 0.2998 0.0000
Cu 0.2998 0.0000 0.7002
Cu 0.2998 0.7002 0.0000
Cu 0.7002 0.0000 0.2998
Cu 0.0000 0.2998 0.7002
Cu 0.1538 0.6516 0.6516
Cu 0.6516 0.6516 0.1538
Cu 0.6516 0.1538 0.6516
Cu 0.8462 0.3484 0.3484
Cu 0.3484 0.3484 0.8462
Cu 0.3484 0.8462 0.3484

## Properties
ρ (g/cm3): 8.6
M_tot (μB per cell): 0.00
Raw total energy (eV per formula unit): -81.48
ΔE_f (eV per atom): -0.11

=====

Entry 10:
## RePbN2O (GGA-PBE)

Data for an optimized crystal structure of RePbN2O.

Lattice parameters (Å, degrees): 4.3141 4.3141 4.1077 90.00 90.00 90.00
Site moments in Bohr magnetons follow the coordinates.
Fractional positions:
Pb 0.0000 0.0000 0.0000  0.01
Re 0.5000 0.5000 0.5000  3.59
O 0.0000 0.0000 0.5000  0.08
N 0.0000 0.5000 0.0000  -0.43
N 0.5000 0.0000 0.0000  -0.43

## Properties
ρ (g/cm3): 9.5
M_tot (μB per cell): 3.09
Raw total energy (eV per formula unit): -27.02
Formation energy from raw total energies (eV/atom): 2.15

=====

Entry 11:
## YBe4Hg (GGA-PBE)

Data for an optimized crystal structure of YBe4Hg.

Lattice parameters (Å, degrees): 4.9556 4.9556 4.9556 60.00 60.00 60.00
Fractional positions:
Y 0.0000 0.0000 0.0000
Be 0.6352 0.6352 0.0943
Be 0.6352 0.0943 0.6352
Be 0.6352 0.6352 0.6352
Be 0.0943 0.6352 0.6352
Hg 0.2500 0.2500 0.2500

## Properties
ρ (g/cm3): 6.3
M_tot (μB per cell): 0.00
Raw total energy (eV per formula unit): -20.23
ΔE_f (eV per atom): 0.24

=====

Entry 12:
## SmNp2In9 (GGA-PBE)

Data for an optimized crystal structure of SmNp2In9.

Lattice parameters (Å, degrees): 4.6495 4.6495 13.9977 90.00 90.00 90.00
Site moments in Bohr magnetons follow the coordinates.
Fractional positions:
Sm 0.0000 0.0000 0.0000  -0.01
Np 0.0000 0.0000 0.3332  3.96
Np 0.0000 0.0000 0.6668  3.96
In 0.5000 0.5000 0.0000  0.00
In 0.5000 0.5000 0.3345  0.01
In 0.5000 0.5000 0.6655  0.01
In 0.5000 0.0000 0.1690  0.00
In 0.5000 0.0000 0.5000  0.01
In 0.5000 0.0000 0.8310  0.00
In 0.0000 0.5000 0.1690  0.00
In 0.0000 0.5000 0.5000  0.01
In 0.0000 0.5000 0.8310  0.00

## Properties
ρ (g/cm3): 9.1
M_tot (μB per cell): 8.54
Raw total energy (eV per formula unit): -57.13
ΔE_f (eV per atom): -0.16

=====

Entry 13:
## Cs2LiNp2Te6 (GGA-PBE)

Data for an optimized crystal structure of Cs2LiNp2Te6.

Lattice parameters (Å, degrees): 7.6753 7.6753 9.3908 97.49 97.49 119.70
Site moments in Bohr magnetons follow the coordinates.
Fractional positions:
Cs 0.8366 0.1634 0.0000  -0.01
Cs 0.1634 0.8366 0.0000  -0.01
Li 0.0000 0.0000 0.5000  -0.01
Np 0.3329 0.6671 0.5000  3.31
Np 0.6671 0.3329 0.5000  3.31
Te 0.7076 0.7076 0.6865  -0.17
Te 0.0599 0.4001 0.6822  -0.16
Te 0.2924 0.2924 0.3135  -0.17
Te 0.4001 0.0599 0.6822  -0.16
Te 0.9401 0.5999 0.3178  -0.16
Te 0.5999 0.9401 0.3178  -0.16

## Properties
ρ (g/cm3): 5.4
M_tot (μB per cell): 4.99
Raw total energy (eV per formula unit): -56.93
Formation energy from raw total energies (eV/atom): -0.78